No. 1
Density functional theory data (PBE) for an optimized crystal structure of Cu3C.

Results
E, eV per atom: -4.255

a = 7.6105 Å, b = 7.6105 Å, c = 2.5504 Å
α = 90.00°, β = 90.00°, γ = 120.00°
Space group R-3m (No. 166, hexagonal axes)
One atom of each set of equivalent atoms:
Cu: 0.0000 0.5000 0.0000
C: 0.0000 0.0000 0.0000

***

No. 2
Density functional theory data (PBE) for an optimized crystal structure of Pr4CS2O.

Results
E, eV per atom: -6.926

a = 6.661 Å, b = 3.881 Å, c = 6.972 Å
α = 90.00°, β = 108.71°, γ = 90.00°
Space group P2/m (No. 10)
One atom of each set of equivalent atoms:
Pr: 0.238 0.000 0.216
Pr: 0.255 0.500 0.783
C: 0.000 0.500 0.000
S: 0.000 0.000 0.500
S: 0.500 0.500 0.500
O: 0.500 0.000 0.000

***

No. 3
Density functional theory data (PBE) for an optimized crystal structure of Pu2ThSc.

Results
E, eV per atom: -10.412

a = 3.4062 Å, b = 3.4062 Å, c = 32.7669 Å
α = 90.00°, β = 90.00°, γ = 120.00°
Space group R-3m (No. 166, hexagonal axes)
One atom of each set of equivalent atoms:
Pu: 0.0000 0.0000 0.2488
Th: 0.0000 0.0000 0.0000
Sc: 0.0000 0.0000 0.5000

***

No. 4
Density functional theory data (PBE) for an optimized crystal structure of Hf6TeN2.

Results
E, eV per atom: -9.551

a = 12.278 Å, b = 9.161 Å, c = 6.644 Å
α = 90.00°, β = 113.79°, γ = 90.00°
Space group C2/c (No. 15)
One atom of each set of equivalent atoms:
Hf: 0.094 0.109 0.497
Hf: 0.115 0.272 0.971
Hf: 0.207 0.424 0.666
Te: 0.000 0.438 0.250
N: 0.101 0.092 0.176

***

No. 5
Density functional theory data (PBE) for an optimized crystal structure of CaThTe.

Results
E, eV per atom: -4.859

a = 3.9752 Å, b = 3.9752 Å, c = 14.9290 Å
α = 90.00°, β = 90.00°, γ = 120.00°
Space group P-6m2 (No. 187)
One atom of each set of equivalent atoms:
Ca: 0.0000 0.0000 0.2048
Th: 0.0000 0.0000 0.5000
Th: 0.6667 0.3333 0.0000
Te: 0.3333 0.6667 0.3517

***

No. 6
Density functional theory data (PBE) for an optimized crystal structure of TlPO2F.

Results
E, eV per atom: -3.315

a = 4.029 Å, b = 4.029 Å, c = 6.553 Å
α = 90.00°, β = 90.00°, γ = 90.00°
Space group P4/mmm (No. 123)
One atom of each set of equivalent atoms:
Tl: 0.000 0.000 0.000
P: 0.000 0.000 0.500
O: 0.000 0.500 0.000
F: 0.500 0.500 0.500

***

No. 7
Density functional theory data (PBE) for an optimized crystal structure of Pr2ZnGe3Rh4.

Results
E, eV per atom: -6.228

a = 4.264 Å, b = 4.264 Å, c = 10.225 Å
α = 90.00°, β = 90.00°, γ = 90.00°
Space group P-4m2 (No. 115)
One atom of each set of equivalent atoms:
Pr: 0.000 0.500 0.249
Zn: 0.500 0.500 0.000
Ge: 0.000 0.000 0.000
Ge: 0.000 0.500 0.629
Rh: 0.000 0.000 0.500
Rh: 0.000 0.500 0.869
Rh: 0.500 0.500 0.500

***

No. 8
Density functional theory data (PBE) for an optimized crystal structure of VFeC2.

Results
E, eV per atom: -8.950

a = 6.714 Å, b = 3.047 Å, c = 3.871 Å
α = 90.00°, β = 109.17°, γ = 90.00°
Space group Cm (No. 8)
One atom of each set of equivalent atoms:
V: 0.000 0.000 0.000
Fe: 0.375 0.000 0.433
C: 0.091 0.000 0.550
C: 0.289 0.000 0.881